First-principles (GGA-PBE) data for crystalline Al2GaAg at its relaxed geometry, as listed in Alexandria.

Results
Its total energy is -3.28 eV per atom. As for the density: 5.343 g cm⁻³. As for the space group: R-3m. The calculation puts the formation energy at 0.236 eV per formula unit.

The structure in POSCAR format:
```
Al2GaAg
1.0
1.446 0.835 9.935
-1.446 0.835 9.935
0.000 -1.670 9.935
Al Ga Ag
2 1 1
Direct
0.089 0.089 0.089 Al
0.911 0.911 0.911 Al
0.000 0.000 0.000 Ga
0.500 0.500 0.500 Ag
```

=====

First-principles (GGA-PBE) data for crystalline TaMn2FeB at its relaxed geometry, as listed in Alexandria.

Results
Its total energy is -8.86 eV per atom. As for the density: 9.619 g cm⁻³. As for the space group: P4/mmm. The calculation puts the formation energy at 1.032 eV per formula unit.

The structure in POSCAR format:
```
TaMn2FeB
1.0
3.796 0.000 0.000
0.000 3.796 0.000
0.000 0.000 4.282
Ta Mn Fe B
1 2 1 1
Direct
0.000 0.000 0.000 Ta
0.000 0.500 0.500 Mn
0.500 0.000 0.500 Mn
0.500 0.500 0.000 Fe
0.000 0.000 0.500 B
```

=====

First-principles (GGA-PBE) data for crystalline Ba3Sn2Pb5 at its relaxed geometry, as listed in Alexandria.

Results
Its total energy is -3.54 eV per atom. As for the density: 7.222 g cm⁻³. As for the space group: Ibam. The calculation puts the formation energy at -3.129 eV per formula unit.

The structure in POSCAR format:
```
Ba3Sn2Pb5
1.0
-7.164 7.315 3.697
7.164 -7.315 3.697
7.164 7.315 -3.697
Ba Sn Pb
6 4 10
Direct
0.126 0.733 0.858 Ba
0.250 0.250 0.000 Ba
0.374 0.233 0.607 Ba
0.626 0.767 0.393 Ba
0.750 0.750 0.000 Ba
0.874 0.267 0.142 Ba
0.137 0.149 0.287 Sn
0.363 0.649 0.012 Sn
0.637 0.351 0.988 Sn
0.863 0.851 0.713 Sn
0.002 0.750 0.252 Pb
0.126 0.359 0.484 Pb
0.250 0.750 0.500 Pb
0.374 0.859 0.233 Pb
0.498 0.750 0.748 Pb
0.502 0.250 0.252 Pb
0.626 0.141 0.767 Pb
0.750 0.250 0.500 Pb
0.874 0.641 0.516 Pb
0.998 0.250 0.748 Pb
```

=====

First-principles (GGA-PBE) data for crystalline LuPuMnGa at its relaxed geometry, as listed in Alexandria.

Results
Its total energy is -7.88 eV per atom. As for the density: 10.646 g cm⁻³. As for the space group: F-43m. The calculation puts the formation energy at -0.468 eV per formula unit.

The structure in POSCAR format:
```
LuPuMnGa
1.0
0.000 3.487 3.487
3.487 0.000 3.487
3.487 3.487 0.000
Lu Pu Mn Ga
1 1 1 1
Direct
0.000 0.000 0.000 Lu
0.500 0.500 0.500 Pu
0.750 0.750 0.750 Mn
0.250 0.250 0.250 Ga
```

=====

First-principles (GGA-PBE) data for crystalline Ac2PmHg3 at its relaxed geometry, as listed in Alexandria.

Results
Its total energy is -2.78 eV per atom. The value obtained for the distance to the lowest polymorph of the same formula is 0.000 eV per atom. As for the density: 10.629 g cm⁻³. As for the space group: P4/mmm. The calculation puts the formation energy at -2.784 eV per formula unit.

The structure in POSCAR format:
```
Ac2PmHg3
1.0
3.961 0.000 0.000
0.000 3.961 0.000
0.000 0.000 11.959
Ac Pm Hg
2 1 3
Direct
0.000 0.000 0.174 Ac
0.000 0.000 0.826 Ac
0.000 0.000 0.500 Pm
0.500 0.500 0.000 Hg
0.500 0.500 0.353 Hg
0.500 0.500 0.647 Hg
```

=====

First-principles (GGA-PBE) data for crystalline Ni3HgOs at its relaxed geometry, as listed in Alexandria.

Results
Its total energy is -4.53 eV per atom. The value obtained for the distance to the lowest polymorph of the same formula is 0.000 eV per atom. As for the density: 10.049 g cm⁻³. As for the space group: Pm-3m. The calculation puts the formation energy at 6.249 eV per formula unit.

The structure in POSCAR format:
```
Ni3HgOs
1.0
4.542 0.000 0.000
0.000 4.542 0.000
0.000 0.000 4.542
Ni Hg Os
3 1 1
Direct
0.000 0.000 0.500 Ni
0.000 0.500 0.000 Ni
0.500 0.000 0.000 Ni
0.500 0.500 0.500 Hg
0.000 0.000 0.000 Os
```

=====

First-principles (GGA-PBE) data for crystalline TcNi6Ir2 at its relaxed geometry, as listed in Alexandria.

Results
Its total energy is -6.88 eV per atom. As for the density: 12.467 g cm⁻³. As for the space group: C2/c. The calculation puts the formation energy at 0.868 eV per formula unit.

The structure in POSCAR format:
```
TcNi6Ir2
1.0
4.766 -4.297 0.000
4.766 4.297 0.000
-3.667 0.000 5.427
Tc Ni Ir
2 12 4
Direct
0.155 0.845 0.750 Tc
0.845 0.155 0.250 Tc
0.006 0.198 0.690 Ni
0.066 0.382 0.137 Ni
0.198 0.006 0.190 Ni
0.339 0.598 0.044 Ni
0.382 0.066 0.637 Ni
0.402 0.661 0.456 Ni
0.598 0.339 0.544 Ni
0.618 0.934 0.363 Ni
0.661 0.402 0.956 Ni
0.802 0.994 0.810 Ni
0.934 0.618 0.863 Ni
0.994 0.802 0.310 Ni
0.219 0.419 0.576 Ir
0.419 0.219 0.076 Ir
0.581 0.781 0.924 Ir
0.781 0.581 0.424 Ir
```

=====

First-principles (GGA-PBE) data for crystalline LiPtCl at its relaxed geometry, as listed in Alexandria.

Results
Its total energy is -4.06 eV per atom. The value obtained for the distance to the lowest polymorph of the same formula is 0.035 eV per atom. As for the density: 6.792 g cm⁻³. The energy relative to the elements, uncorrected is -792 meV per atom. As for the space group: Pm.

The structure in POSCAR format:
```
LiPtCl
1.0
3.511 0.000 0.000
0.000 3.452 0.000
-1.319 0.000 9.581
Li Pt Cl
2 2 2
Direct
0.000 0.000 0.000 Li
0.406 0.500 0.670 Li
0.285 0.500 0.385 Pt
0.811 0.000 0.474 Pt
0.429 0.000 0.833 Cl
0.881 0.500 0.150 Cl
```

=====

First-principles (GGA-PBE) data for crystalline Li2CrRe at its relaxed geometry, as listed in Alexandria.

Results
Its total energy is -6.10 eV per atom. The value obtained for the distance to the lowest polymorph of the same formula is 0.128 eV per atom. As for the density: 7.489 g cm⁻³. As for the space group: Cm. The calculation puts the formation energy at 1.507 eV per formula unit.

The structure in POSCAR format:
```
Li2CrRe
1.0
4.328 -1.223 0.000
4.328 1.223 0.000
-0.167 0.000 5.277
Li Cr Re
2 1 1
Direct
0.000 0.000 0.000 Li
0.248 0.248 0.775 Li
0.747 0.747 0.297 Cr
0.502 0.502 0.482 Re
```

=====

First-principles (GGA-PBE) data for crystalline AsPtRh2 at its relaxed geometry, as listed in Alexandria.

Results
Its total energy is -6.47 eV per atom. As for the density: 13.159 g cm⁻³. As for the space group: R-3m. The calculation puts the formation energy at -0.506 eV per formula unit.

The structure in POSCAR format:
```
AsPtRh2
1.0
1.441 0.832 8.342
-1.441 0.832 8.342
0.000 -1.664 8.342
As Pt Rh
1 1 2
Direct
0.000 0.000 0.000 As
0.500 0.500 0.500 Pt
0.259 0.259 0.259 Rh
0.741 0.741 0.741 Rh
```

=====

First-principles (GGA-PBE) data for crystalline Bi2N2Cl5 at its relaxed geometry, as listed in Alexandria.

Results
Its total energy is -4.33 eV per atom. As for the density: 2.635 g cm⁻³. The energy relative to the elements, uncorrected is -590 meV per atom. As for the space group: Fmmm.

The structure in POSCAR format:
```
Bi2N2Cl5
1.0
0.000 6.500 7.608
3.971 0.000 7.608
3.971 6.500 0.000
Bi N Cl
2 2 5
Direct
0.215 0.785 0.215 Bi
0.785 0.215 0.785 Bi
0.463 0.463 0.537 N
0.537 0.537 0.463 N
0.000 0.000 0.000 Cl
0.122 0.122 0.378 Cl
0.378 0.378 0.122 Cl
0.622 0.622 0.878 Cl
0.878 0.878 0.622 Cl
```

=====

First-principles (GGA-PBE) data for crystalline Rb3Ce3PmSe8 at its relaxed geometry, as listed in Alexandria.

Results
Its total energy is -5.07 eV per atom. As for the density: 5.308 g cm⁻³. The energy relative to the elements, uncorrected is -1517 meV per atom. As for the space group: C2/m.

The structure in POSCAR format:
```
Rb3Ce3PmSe8
1.0
5.232 -5.231 0.000
5.232 5.231 0.000
-0.008 0.000 8.308
Rb Ce Pm Se
3 3 1 8
Direct
0.000 0.000 0.000 Rb
0.000 0.500 0.000 Rb
0.500 0.000 0.000 Rb
0.000 0.500 0.500 Ce
0.500 0.000 0.500 Ce
0.500 0.500 0.500 Ce
0.000 0.000 0.500 Pm
0.250 0.250 0.300 Se
0.250 0.749 0.300 Se
0.251 0.251 0.700 Se
0.251 0.750 0.700 Se
0.749 0.250 0.300 Se
0.749 0.749 0.300 Se
0.750 0.251 0.700 Se
0.750 0.750 0.700 Se
```

=====

First-principles (GGA-PBE) data for crystalline Rb2SiRhI6 at its relaxed geometry, as listed in Alexandria.

Results
Its total energy is -2.99 eV per atom. As for the density: 4.812 g cm⁻³. The energy relative to the elements, uncorrected is -589 meV per atom. As for the space group: I4/mmm.

The structure in POSCAR format:
```
Rb2SiRhI6
1.0
-4.014 4.014 5.694
4.014 -4.014 5.694
4.014 4.014 -5.694
Rb Si Rh I
2 1 1 6
Direct
0.250 0.750 0.500 Rb
0.750 0.250 0.500 Rb
0.000 0.000 0.000 Si
0.500 0.500 0.000 Rh
0.256 0.256 0.000 I
0.256 0.256 0.512 I
0.256 0.744 0.000 I
0.744 0.256 0.000 I
0.744 0.744 0.000 I
0.744 0.744 0.488 I
```

=====

First-principles (GGA-PBE) data for crystalline ErPuPb at its relaxed geometry, as listed in Alexandria.

Results
Its total energy is -7.82 eV per atom. The value obtained for the distance to the lowest polymorph of the same formula is 0.000 eV per atom. As for the density: 12.371 g cm⁻³. As for the space group: P6_3/mmc. The calculation puts the formation energy at -0.867 eV per formula unit.

The structure in POSCAR format:
```
ErPuPb
1.0
5.508 0.000 0.000
-2.754 4.770 0.000
0.000 0.000 6.319
Er Pu Pb
2 2 2
Direct
0.333 0.667 0.250 Er
0.667 0.333 0.750 Er
0.000 0.000 0.000 Pu
0.000 0.000 0.500 Pu
0.333 0.667 0.750 Pb
0.667 0.333 0.250 Pb
```

=====

First-principles (GGA-PBE) data for crystalline IrPd2F8 at its relaxed geometry, as listed in Alexandria.

Results
Its total energy is -4.27 eV per atom. As for the density: 5.705 g cm⁻³. The energy relative to the elements, uncorrected is -1164 meV per atom. As for the space group: P-3.

The structure in POSCAR format:
```
IrPd2F8
1.0
6.698 0.000 0.000
-3.349 5.801 0.000
0.000 0.000 4.172
Ir Pd F
1 2 8
Direct
0.000 0.000 0.000 Ir
0.333 0.667 0.801 Pd
0.667 0.333 0.199 Pd
0.140 0.284 0.752 F
0.144 0.860 0.752 F
0.284 0.144 0.248 F
0.333 0.667 0.299 F
0.667 0.333 0.701 F
0.716 0.856 0.752 F
0.856 0.140 0.248 F
0.860 0.716 0.248 F
```

=====

First-principles (GGA-PBE) data for crystalline CaRu2Se at its relaxed geometry, as listed in Alexandria.

Results
Its total energy is -5.81 eV per atom. As for the density: 7.658 g cm⁻³. The energy relative to the elements, uncorrected is 201 meV per atom. As for the space group: Pmmm.

The structure in POSCAR format:
```
CaRu2Se
1.0
3.904 0.000 0.000
0.000 3.918 0.000
0.000 0.000 4.553
Ca Ru Se
1 2 1
Direct
0.000 0.000 0.000 Ca
0.000 0.500 0.500 Ru
0.500 0.000 0.500 Ru
0.500 0.500 0.000 Se
```

=====

First-principles (GGA-PBE) data for crystalline HgRh3S at its relaxed geometry, as listed in Alexandria.

Results
Its total energy is -5.23 eV per atom. The value obtained for the distance to the lowest polymorph of the same formula is 0.000 eV per atom. As for the density: 10.512 g cm⁻³. The energy relative to the elements, uncorrected is 70 meV per atom. As for the space group: Pm-3m.

The structure in POSCAR format:
```
HgRh3S
1.0
4.406 0.000 0.000
0.000 4.406 0.000
0.000 0.000 4.406
Hg Rh S
1 3 1
Direct
0.000 0.000 0.000 Hg
0.000 0.500 0.500 Rh
0.500 0.000 0.500 Rh
0.500 0.500 0.000 Rh
0.500 0.500 0.500 S
```

=====

First-principles (GGA-PBE) data for crystalline Pr12NdSm3 at its relaxed geometry, as listed in Alexandria.

Results
Its total energy is -4.76 eV per atom. As for the density: 6.654 g cm⁻³. As for the space group: P4/mmm. The calculation puts the formation energy at 0.167 eV per formula unit.

The structure in POSCAR format:
```
Pr12NdSm3
1.0
5.229 0.000 0.000
0.000 5.229 0.000
0.000 0.000 20.864
Pr Nd Sm
12 1 3
Direct
0.000 0.000 0.000 Pr
0.000 0.000 0.249 Pr
0.000 0.000 0.500 Pr
0.000 0.000 0.751 Pr
0.000 0.500 0.125 Pr
0.000 0.500 0.374 Pr
0.000 0.500 0.626 Pr
0.000 0.500 0.875 Pr
0.500 0.000 0.125 Pr
0.500 0.000 0.374 Pr
0.500 0.000 0.626 Pr
0.500 0.000 0.875 Pr
0.500 0.500 0.500 Nd
0.500 0.500 0.000 Sm
0.500 0.500 0.250 Sm
0.500 0.500 0.750 Sm
```

=====

First-principles (GGA-PBE) data for crystalline La2AsH at its relaxed geometry, as listed in Alexandria.

Results
Its total energy is -5.21 eV per atom. The value obtained for the distance to the lowest polymorph of the same formula is 0.185 eV per atom. As for the density: 6.449 g cm⁻³. As for the space group: Fm-3m.

The structure in POSCAR format:
```
La2AsH
1.0
0.000 3.571 3.571
3.571 0.000 3.571
3.571 3.571 0.000
La As H
2 1 1
Direct
0.250 0.250 0.250 La
0.750 0.750 0.750 La
0.000 0.000 0.000 As
0.500 0.500 0.500 H
```

=====

First-principles (GGA-PBE) data for crystalline Sc12Cd3Ga at its relaxed geometry, as listed in Alexandria.

Results
Its total energy is -5.28 eV per atom. As for the density: 4.365 g cm⁻³. As for the space group: P4/mmm. The calculation puts the formation energy at -2.736 eV per formula unit.

The structure in POSCAR format:
```
Sc12Cd3Ga
1.0
4.479 0.000 0.000
0.000 4.479 0.000
0.000 0.000 17.943
Sc Cd Ga
12 3 1
Direct
0.000 0.000 0.000 Sc
0.000 0.000 0.247 Sc
0.000 0.000 0.500 Sc
0.000 0.000 0.753 Sc
0.000 0.500 0.119 Sc
0.000 0.500 0.373 Sc
0.000 0.500 0.627 Sc
0.000 0.500 0.881 Sc
0.500 0.000 0.119 Sc
0.500 0.000 0.373 Sc
0.500 0.000 0.627 Sc
0.500 0.000 0.881 Sc
0.500 0.500 0.247 Cd
0.500 0.500 0.500 Cd
0.500 0.500 0.753 Cd
0.500 0.500 0.000 Ga
```